(1)
Below is a relaxed structure of Sr3BeRe, with properties calculated at the PBE-GGA level.

The value obtained for the formation energy is 1.1746 eV/atom. Its space group is Pm-3m. For the total energy, the calculation gives -15.35 eV/cell. The value obtained for the volume is 191.86 Å³ per cell. For the offset from the most stable computed form, the calculation gives 0 meV/atom. The value obtained for the total magnetic moment is 0.8 μB per cell.

abc: 5.7676 5.7676 5.7676
angles: 90.00 90.00 90.00
Last column: nearest neighbours and their distance in Å.
Atoms (fractional coordinates):
1 Re 0.0000 0.0000 0.0000  6 Sr 2.88
2 Be 0.5000 0.5000 0.5000  12 Sr 4.08
3 Sr 0.0000 0.5000 0.0000  2 Re 2.88
4 Sr 0.0000 0.0000 0.5000  2 Re 2.88
5 Sr 0.5000 0.0000 0.0000  2 Re 2.88

(2)
Below is a relaxed structure of Sr2BeReTe, with properties calculated at the PBE-GGA level.

Its space group is P4/mmm. For the total energy, the calculation gives -17.72 eV/cell. The value obtained for the volume is 154.42 Å³ per cell. As for the uncorrected formation energy: 992.4 meV per atom. The value obtained for the total magnetic moment is 3.3 μB per cell.

abc: 5.8034 4.5851 5.8034
angles: 90.00 90.00 90.00
Last column: nearest neighbours and their distance in Å.
Atoms (fractional coordinates):
1 Re 0.5000 0.5000 0.5000  8 Sr 3.70, 4 Te 4.10
2 Te 0.0000 0.5000 0.0000  2 Be 2.29
3 Be 0.0000 0.0000 0.0000  2 Te 2.29
4 Sr 0.0000 0.0000 0.5000  2 Be 2.90
5 Sr 0.5000 0.0000 0.0000  2 Be 2.90

(3)
Below is a relaxed structure of TaBeRe2, with properties calculated at the PBE-GGA level.

The value obtained for the formation energy is 0.4403 eV/atom. Its space group is I-42d. For the total energy, the calculation gives -77.43 eV/cell. The value obtained for the volume is 119.80 Å³ per cell. For the offset from the most stable computed form, the calculation gives 495 meV/atom. The value obtained for the total magnetic moment is 0.0 μB per cell.

abc: 7.1379 7.1379 5.5681
angles: 50.14 50.14 90.00
Last column: nearest neighbours and their distance in Å.
Atoms (fractional coordinates):
1 Re 0.5416 0.1250 0.2500  2 Be 2.22
2 Re 0.2084 0.6250 0.2500  2 Be 2.22
3 Re 0.3750 0.4584 0.7500  2 Be 2.22
4 Re 0.8750 0.7916 0.7500  2 Be 2.22
5 Be 0.5000 0.5000 0.0000  4 Re 2.22, 2 Ta 2.35
6 Be 0.2500 0.7500 0.5000  4 Re 2.22, 2 Ta 2.35
7 Ta 0.0000 0.0000 0.0000  2 Be 2.35
8 Ta 0.7500 0.2500 0.5000  2 Be 2.35

(4)
Below is a relaxed structure of TaBeRe2, with properties calculated at the PBE-GGA level.

The value obtained for the formation energy is 0.1213 eV/atom. Its space group is I-4m2. For the total energy, the calculation gives -39.99 eV/cell. The value obtained for the volume is 58.49 Å³ per cell. For the offset from the most stable computed form, the calculation gives 176 meV/atom. The value obtained for the total magnetic moment is 0.0 μB per cell.

abc: 4.8066 4.8066 4.8066
angles: 132.91 132.91 68.80
Last column: nearest neighbours and their distance in Å.
Atoms (fractional coordinates):
1 Re 0.0000 0.0000 0.0000  4 Ta 2.72, 4 Re 2.76, 4 Be 2.76
2 Re 0.2500 0.7500 0.5000  4 Be 2.72, 4 Re 2.76, 4 Ta 2.76
3 Be 0.7500 0.2500 0.5000  8 Re 2.72-2.76, 4 Ta 2.76
4 Ta 0.5000 0.5000 0.0000  8 Re 2.72-2.76, 4 Be 2.76

(5)
Below is a relaxed structure of TaBeRe2, with properties calculated at the PBE-GGA level.

The value obtained for the formation energy is 0.0417 eV/atom. Its space group is P2/m. For the total energy, the calculation gives -40.31 eV/cell. The value obtained for the volume is 58.89 Å³ per cell. For the offset from the most stable computed form, the calculation gives 96 meV/atom. The value obtained for the total magnetic moment is 0.0 μB per cell.

abc: 4.3062 2.6927 5.1368
angles: 81.40 90.00 90.00
Last column: nearest neighbours and their distance in Å.
Atoms (fractional coordinates):
1 Re 0.0000 0.0066 0.9845  4 Re 2.56-2.87, 2 Be 2.61, 2 Ta 2.68
2 Re 0.0000 0.4934 0.5155  4 Re 2.56-2.87, 2 Be 2.61, 2 Ta 2.68
3 Be 0.5000 0.7500 0.7500  4 Re 2.61, 2 Be 2.69, 2 Ta 2.72
4 Ta 0.5000 0.2500 0.2500  4 Re 2.68, 2 Ta 2.69, 2 Be 2.72

(6)
Below is a relaxed structure of TaBeRe2, with properties calculated at the PBE-GGA level.

The value obtained for the formation energy is 0.0873 eV/atom. Its space group is Fm-3m. For the total energy, the calculation gives -40.13 eV/cell. The value obtained for the volume is 58.08 Å³ per cell. For the offset from the most stable computed form, the calculation gives 142 meV/atom. The value obtained for the total magnetic moment is 0.0 μB per cell.

abc: 4.3470 4.3470 4.3470
angles: 60.00 60.00 60.00
Last column: nearest neighbours and their distance in Å.
Atoms (fractional coordinates):
1 Re 0.2500 0.2500 0.2500  4 Ta 2.66, 4 Be 2.66
2 Re 0.7500 0.7500 0.7500  4 Ta 2.66, 4 Be 2.66
3 Be 0.0000 0.0000 0.0000  8 Re 2.66
4 Ta 0.5000 0.5000 0.5000  8 Re 2.66

(7)
Below is a relaxed structure of TaBeRe2, with properties calculated at the PBE-GGA level.

The value obtained for the formation energy is -0.0199 eV/atom. Its space group is Cmmm. For the total energy, the calculation gives -40.55 eV/cell. The value obtained for the volume is 56.99 Å³ per cell. For the offset from the most stable computed form, the calculation gives 34 meV/atom. The value obtained for the total magnetic moment is 0.0 μB per cell.

abc: 2.7337 2.7337 8.0572
angles: 90.00 90.00 108.84
Last column: nearest neighbours and their distance in Å.
Atoms (fractional coordinates):
1 Re 0.0000 0.0000 0.9714  2 Be 2.39
2 Re 0.0000 0.0000 0.5286  2 Be 2.39
3 Be 0.5000 0.5000 0.7500  4 Re 2.39
4 Ta 0.5000 0.5000 0.2500  4 Ta 2.73, 4 Re 2.75

(8)
Below is a relaxed structure of Ta2Be9Re, with properties calculated at the PBE-GGA level.

The value obtained for the formation energy is -0.2075 eV/atom. Its space group is P6_3/mmc. For the total energy, the calculation gives -144.36 eV/cell. The value obtained for the volume is 241.50 Å³ per cell. The value obtained for the total magnetic moment is 0.0 μB per cell.

abc: 4.4803 4.4803 13.8923
angles: 90.00 90.00 120.00
Last column: nearest neighbours and their distance in Å.
Atoms (fractional coordinates):
1 Ta 0.3333 0.6667 0.5383  12 Be 2.58-2.67, 3 Ta 2.80
2 Ta 0.6667 0.3333 0.0383  12 Be 2.58-2.67, 3 Ta 2.80
3 Ta 0.6667 0.3333 0.4617  12 Be 2.58-2.67, 3 Ta 2.80
4 Ta 0.3333 0.6667 0.9617  12 Be 2.58-2.67, 3 Ta 2.80
5 Be 0.0000 0.0000 0.0000  6 Be 2.23
6 Be 0.0000 0.0000 0.5000  6 Be 2.23
7 Be 0.0000 0.0000 0.2500  6 Be 2.12
8 Be 0.0000 0.0000 0.7500  6 Be 2.12
9 Be 0.3333 0.6667 0.2500  6 Be 2.11
10 Be 0.6667 0.3333 0.7500  6 Be 2.11
11 Be 0.1680 0.3359 0.1299  7 Be 2.11-2.26
12 Be 0.6641 0.8320 0.1299  7 Be 2.11-2.26
13 Be 0.1680 0.8320 0.1299  7 Be 2.11-2.26
14 Be 0.8320 0.6641 0.6299  7 Be 2.11-2.26
15 Be 0.3359 0.1680 0.6299  7 Be 2.11-2.26
16 Be 0.8320 0.1680 0.6299  7 Be 2.11-2.26
17 Be 0.3359 0.1680 0.8701  7 Be 2.11-2.26
18 Be 0.8320 0.6641 0.8701  7 Be 2.11-2.26
19 Be 0.8320 0.1680 0.8701  7 Be 2.11-2.26
20 Be 0.6641 0.8320 0.3701  7 Be 2.11-2.26
21 Be 0.1680 0.3359 0.3701  7 Be 2.11-2.26
22 Be 0.1680 0.8320 0.3701  7 Be 2.11-2.26
23 Re 0.3333 0.6667 0.7500  18 Be 2.59-2.79
24 Re 0.6667 0.3333 0.2500  18 Be 2.59-2.79

(9)
Below is a relaxed structure of TaBeRe2, with properties calculated at the PBE-GGA level.

The value obtained for the formation energy is 0.0205 eV/atom. Its space group is Immm. For the total energy, the calculation gives -40.39 eV/cell. The value obtained for the volume is 58.21 Å³ per cell. For the offset from the most stable computed form, the calculation gives 75 meV/atom. The value obtained for the total magnetic moment is 0.0 μB per cell.

abc: 4.9819 4.9819 4.9819
angles: 143.37 126.87 66.27
Last column: nearest neighbours and their distance in Å.
Atoms (fractional coordinates):
1 Re 0.0064 0.0064 0.0000  2 Be 2.57, 2 Ta 2.65, 4 Re 2.73
2 Re 0.4936 0.4936 0.0000  2 Be 2.57, 2 Ta 2.65, 4 Re 2.73
3 Be 0.2500 0.7500 0.5000  4 Re 2.57, 4 Ta 2.72
4 Ta 0.7500 0.2500 0.5000  4 Re 2.65, 4 Be 2.72

(10)
Below is a relaxed structure of TaBeRe2, with properties calculated at the PBE-GGA level.

The value obtained for the formation energy is 0.0224 eV/atom. Its space group is Pm. For the total energy, the calculation gives -40.39 eV/cell. The value obtained for the volume is 58.63 Å³ per cell. For the offset from the most stable computed form, the calculation gives 77 meV/atom. The value obtained for the total magnetic moment is 0.0 μB per cell.

abc: 4.2791 2.8077 4.9775
angles: 78.62 90.00 90.00
Last column: nearest neighbours and their distance in Å.
Atoms (fractional coordinates):
1 Re 0.0000 0.8986 0.0182  2 Be 2.57, 2 Ta 2.60-2.62, 6 Re 2.63-2.85
2 Re 0.5000 0.2517 0.2155  3 Be 2.57-2.77, 6 Re 2.63-2.85, 2 Ta 2.78
3 Be 0.5000 0.8994 0.7337  5 Re 2.57-2.77, 4 Ta 2.71-2.77, 2 Be 2.81
4 Ta 0.0000 0.4503 0.5325  4 Re 2.60-2.78, 4 Be 2.71-2.77, 2 Ta 2.81

(11)
Below is a relaxed structure of TaBeRe2, with properties calculated at the PBE-GGA level.

The value obtained for the formation energy is 0.1333 eV/atom. Its space group is F-43m. For the total energy, the calculation gives -39.94 eV/cell. The value obtained for the volume is 58.46 Å³ per cell. For the offset from the most stable computed form, the calculation gives 188 meV/atom. The value obtained for the total magnetic moment is 0.0 μB per cell.

abc: 4.3565 4.3565 4.3565
angles: 60.00 60.00 60.00
Last column: nearest neighbours and their distance in Å.
Atoms (fractional coordinates):
1 Re 0.0000 0.0000 0.0000  4 Re 2.67, 4 Ta 2.67
2 Re 0.2500 0.2500 0.2500  4 Be 2.67, 4 Re 2.67
3 Be 0.5000 0.5000 0.5000  4 Ta 2.67, 4 Re 2.67
4 Ta 0.7500 0.7500 0.7500  4 Re 2.67, 4 Be 2.67

(12)
Below is a relaxed structure of TaBe3Re, with properties calculated at the PBE-GGA level.

The value obtained for the formation energy is 1.9816 eV/atom. Its space group is Pm-3m. For the total energy, the calculation gives -25.57 eV/cell. The value obtained for the volume is 74.87 Å³ per cell. For the offset from the most stable computed form, the calculation gives 1095 meV/atom. The value obtained for the total magnetic moment is 2.0 μB per cell.

abc: 4.2147 4.2147 4.2147
angles: 90.00 90.00 90.00
Last column: nearest neighbours and their distance in Å.
Atoms (fractional coordinates):
1 Re 0.5000 0.5000 0.5000  12 Be 2.98
2 Be 0.0000 0.5000 0.0000  2 Ta 2.11
3 Be 0.0000 0.0000 0.5000  2 Ta 2.11
4 Be 0.5000 0.0000 0.0000  2 Ta 2.11
5 Ta 0.0000 0.0000 0.0000  6 Be 2.11